Record 1
A plane-wave DFT calculation with PBE was carried out for Na8As2O after structural relaxation.

Results
**Formation energy without anion corrections**: -0.57 eV per atom
**Size of the total moment**: 0.0 Bohr magnetons per cell
**Crystal system**: monoclinic

```
Na8As2O
1.0
-1.067 3.449 3.308
-5.101 -2.962 1.443
7.184 -4.497 3.383
Na As O
8 2 1
Direct
0.772 0.747 0.544
0.619 0.904 0.238
0.004 0.769 0.008
0.381 0.096 0.762
0.228 0.253 0.456
0.996 0.231 0.992
0.597 0.370 0.194
0.403 0.630 0.806
0.157 0.663 0.315
0.843 0.337 0.685
0.500 0.000 0.000
```

Record 2
A plane-wave DFT calculation with PBE was carried out for ScTiRu3 after structural relaxation.

Results
**Size of the total moment**: 0.0 Bohr magnetons per cell
**Crystal system**: cubic
**Calculated formation energy**: 0.498 eV per atom

```
ScTiRu3
1.0
4.512 0.000 0.000
0.000 4.512 0.000
0.000 0.000 4.512
Ti Ru Sc
1 3 1
Direct
0.000 0.000 0.000
0.500 0.000 0.000
0.000 0.500 0.000
0.000 0.000 0.500
0.500 0.500 0.500
```

Record 3
A plane-wave DFT calculation with PBE was carried out for Nd14SmPb after structural relaxation.

Results
**Size of the total moment**: 0.0 Bohr magnetons per cell
**Crystal system**: tetragonal
**Calculated formation energy**: -0.049 eV per atom

```
Nd14SmPb
1.0
-3.785 -5.873 -2.067
6.192 -3.299 -1.965
0.917 -3.931 9.490
Nd Sm Pb
14 1 1
Direct
0.127 0.377 0.754
0.375 0.125 0.500
0.375 0.125 0.000
0.622 0.378 0.246
0.623 0.873 0.754
0.875 0.625 0.000
0.128 0.872 0.245
0.622 0.378 0.754
0.623 0.873 0.246
0.127 0.377 0.246
0.128 0.872 0.755
0.375 0.625 0.500
0.875 0.625 0.500
0.875 0.125 0.500
0.875 0.125 0.000
0.375 0.625 0.000
```

Record 4
A plane-wave DFT calculation with PBE was carried out for LiIO4 after structural relaxation.

Results
**Formation energy without anion corrections**: -0.62 eV per atom
**Size of the total moment**: 0.0 Bohr magnetons per cell
**Crystal system**: monoclinic

```
LiIO4
1.0
-3.634 3.221 0.617
0.571 -1.618 4.840
6.098 4.138 -1.616
O Li I
8 2 2
Direct
0.279 0.076 0.683
0.721 0.924 0.317
0.077 0.829 0.082
0.096 0.393 0.317
0.494 0.747 0.918
0.506 0.253 0.082
0.923 0.171 0.918
0.904 0.607 0.683
0.364 0.614 0.229
0.636 0.386 0.771
0.825 0.075 0.151
0.175 0.925 0.849
```

Record 5
A plane-wave DFT calculation with PBE was carried out for La3HfPa2N6 after structural relaxation.

Results
**Formation energy without anion corrections**: -1.58 eV per atom
**Size of the total moment**: 0.0 Bohr magnetons per cell
**Crystal system**: monoclinic

```
La3HfPa2N6
1.0
6.080 0.001 0.003
-3.038 5.267 0.003
-1.012 -1.752 5.957
Pa N Hf La
2 6 1 3
Direct
0.333 0.667 0.000
0.667 0.333 0.000
0.066 0.392 0.197
0.392 0.066 0.197
0.742 0.742 0.201
0.934 0.608 0.803
0.258 0.258 0.799
0.608 0.934 0.803
0.000 0.000 0.000
0.835 0.165 0.500
0.500 0.500 0.500
0.165 0.835 0.500
```

Record 6
A plane-wave DFT calculation with PBE was carried out for LiCe2Os after structural relaxation.

Results
**Size of the total moment**: 1.1 Bohr magnetons per cell
**Crystal system**: trigonal
**Calculated formation energy**: 0.172 eV per atom

```
LiCe2Os
1.0
3.985 0.000 0.000
1.992 3.451 0.000
1.992 1.150 9.921
Os Li Ce
1 1 2
Direct
0.500 0.500 0.500
0.000 0.000 0.000
0.884 0.884 0.348
0.116 0.116 0.652
```

VASP energy per entry: -2.826 -7.912 -4.747 -4.501 -9.392 -6.081 eV/atom